Record 1
Density functional theory data (GGA-PBE) for crystalline KSrNb2 at its relaxed geometry.

Summary:
Its polymorph energy (0 for the lowest one) is 0.0 kJ/mol of atoms.

Cell lengths 9.152, 9.152, 7.063 Å; angles 49.62, 49.62, 90.00 degrees
Site moments in Bohr magnetons follow the coordinates.
Fractional coordinates of all 8 atoms:
Sr  0.000  0.000  0.000  0.11
Sr  0.750  0.250  0.500  0.11
Nb  0.621  0.125  0.250  0.92
Nb  0.129  0.625  0.250  0.92
Nb  0.375  0.379  0.750  0.93
Nb  0.875  0.871  0.750  0.90
K  0.500  0.500  0.000  0.04
K  0.250  0.750  0.500  0.04


Record 2
Density functional theory data (GGA-PBE) for crystalline Pm3Y6Ho2Th at its relaxed geometry.

Cell lengths 6.214, 6.214, 11.854 Å; angles 95.02, 95.02, 119.98 degrees
Fractional coordinates of all 12 atoms:
Pm  0.167  0.833  0.500
Pm  0.833  0.167  0.500
Pm  0.500  0.500  0.500
Y  0.917  0.587  0.753
Y  0.753  0.753  0.247
Y  0.083  0.413  0.247
Y  0.587  0.917  0.753
Y  0.247  0.247  0.753
Y  0.413  0.083  0.247
Ho  0.333  0.667  0.000
Ho  0.667  0.333  0.000
Th  0.000  0.000  0.000


Record 3
Density functional theory data (GGA-PBE) for crystalline Ce3SmGe3 at its relaxed geometry.

Cell lengths 7.482, 7.482, 9.087 Å; angles 65.69, 65.69, 60.00 degrees
Fractional coordinates of all 14 atoms:
Ce  0.467  0.803  0.592
Ce  0.803  0.139  0.592
Ce  0.139  0.467  0.592
Ce  0.861  0.533  0.408
Ce  0.197  0.861  0.408
Ce  0.533  0.197  0.408
Sm  0.334  0.334  0.999
Sm  0.666  0.666  0.001
Ge  0.260  0.599  0.209
Ge  0.932  0.260  0.209
Ge  0.599  0.932  0.209
Ge  0.401  0.068  0.791
Ge  0.068  0.740  0.791
Ge  0.740  0.401  0.791


Record 4
Density functional theory data (GGA-PBE) for crystalline CaB2H14N2 at its relaxed geometry.

Cell lengths 6.468, 8.242, 12.373 Å; angles 90.00, 90.00, 90.00 degrees
Fractional coordinates of all 76 atoms:
Ca  0.000  0.243  0.250
Ca  0.500  0.257  0.750
Ca  0.000  0.757  0.750
Ca  0.500  0.743  0.250
B  0.768  0.522  0.159
B  0.732  0.978  0.659
B  0.268  0.978  0.841
B  0.232  0.522  0.341
B  0.232  0.478  0.841
B  0.268  0.022  0.341
B  0.732  0.022  0.159
B  0.768  0.478  0.659
H  0.823  0.336  0.668
H  0.677  0.164  0.168
H  0.323  0.164  0.332
H  0.177  0.336  0.832
H  0.177  0.664  0.332
H  0.323  0.836  0.832
H  0.677  0.836  0.668
H  0.823  0.664  0.168
H  0.607  0.485  0.606
H  0.893  0.015  0.106
H  0.107  0.015  0.394
H  0.393  0.485  0.894
H  0.393  0.515  0.394
H  0.107  0.985  0.894
H  0.893  0.985  0.606
H  0.607  0.515  0.106
H  0.268  0.347  0.054
H  0.232  0.153  0.554
H  0.768  0.153  0.946
H  0.732  0.347  0.446
H  0.732  0.653  0.946
H  0.768  0.847  0.446
H  0.232  0.847  0.054
H  0.268  0.653  0.554
H  0.795  0.840  0.971
H  0.705  0.660  0.471
H  0.295  0.660  0.029
H  0.205  0.840  0.529
H  0.205  0.160  0.029
H  0.295  0.340  0.529
H  0.705  0.340  0.971
H  0.795  0.160  0.471
H  0.885  0.301  0.882
H  0.615  0.199  0.382
H  0.385  0.199  0.118
H  0.115  0.301  0.618
H  0.115  0.699  0.118
H  0.385  0.801  0.618
H  0.615  0.801  0.882
H  0.885  0.699  0.382
H  0.734  0.533  0.749
H  0.766  0.967  0.249
H  0.234  0.967  0.251
H  0.266  0.533  0.751
H  0.266  0.467  0.251
H  0.234  0.033  0.751
H  0.766  0.033  0.749
H  0.734  0.467  0.249
H  0.905  0.552  0.612
H  0.595  0.948  0.112
H  0.405  0.948  0.388
H  0.095  0.552  0.888
H  0.095  0.448  0.388
H  0.405  0.052  0.888
H  0.595  0.052  0.612
H  0.905  0.448  0.112
N  0.243  0.237  0.091
N  0.257  0.263  0.591
N  0.743  0.263  0.909
N  0.757  0.237  0.409
N  0.757  0.763  0.909
N  0.743  0.737  0.409
N  0.257  0.737  0.091
N  0.243  0.763  0.591


Record 5
Density functional theory data (GGA-PBE) for crystalline Tb2Cd3Au4 at its relaxed geometry.

Summary:
Its polymorph energy (0 for the lowest one) is 0.0 kJ/mol of atoms.

Cell lengths 4.842, 4.871, 9.522 Å; angles 89.23, 89.97, 60.21 degrees
Fractional coordinates of all 9 atoms:
Tb  0.332  0.336  0.781
Tb  0.668  0.664  0.219
Cd  0.336  0.328  0.423
Cd  0.000  0.000  0.000
Cd  0.664  0.672  0.577
Au  0.666  0.668  0.903
Au  0.004  0.993  0.349
Au  0.996  0.007  0.651
Au  0.334  0.332  0.097


Record 6
Density functional theory data (GGA-PBE) for crystalline Th2As7Ru12 at its relaxed geometry.

Cell lengths 4.028, 9.838, 9.838 Å; angles 120.00, 90.00, 90.00 degrees
Fractional coordinates of all 21 atoms:
Th  0.500  0.000  0.000
Th  0.000  0.667  0.333
As  0.000  0.333  0.667
As  0.000  0.034  0.778
As  0.000  0.743  0.966
As  0.000  0.222  0.257
As  0.500  0.622  0.557
As  0.500  0.934  0.378
As  0.500  0.443  0.066
Ru  0.500  0.893  0.610
Ru  0.500  0.718  0.107
Ru  0.500  0.390  0.282
Ru  0.500  0.235  0.786
Ru  0.500  0.551  0.765
Ru  0.500  0.214  0.449
Ru  0.000  0.059  0.547
Ru  0.000  0.488  0.941
Ru  0.000  0.453  0.512
Ru  0.000  0.767  0.732
Ru  0.000  0.966  0.233
Ru  0.000  0.268  0.034


Record 7
Density functional theory data (GGA-PBE) for crystalline BeVCdNi2 at its relaxed geometry.

Cell lengths 4.573, 4.573, 4.168 Å; angles 90.00, 90.00, 90.00 degrees
Fractional coordinates of all 5 atoms:
Ni  0.000  0.500  0.000
Ni  0.500  0.000  0.000
V  0.500  0.500  0.500
Be  0.000  0.000  0.500
Cd  0.000  0.000  0.000


Record 8
Density functional theory data (GGA-PBE) for crystalline Ta2BeSi at its relaxed geometry.

Summary:
Its polymorph energy (0 for the lowest one) is 44.2 kJ/mol of atoms. The calculation puts the formation energy (no corrections) at -0.11 eV/atom.

Cell lengths 5.941, 4.669, 2.825 Å; angles 85.26, 69.78, 122.12 degrees
Fractional coordinates of all 4 atoms:
Be  0.000  0.500  0.500
Si  0.500  0.500  0.000
Ta  0.000  0.000  0.000
Ta  0.500  0.000  0.500


| no. | uncorrected energy (eV/atom) |
| --- | --- |
| 1 | -4.02 |
| 2 | -5.78 |
| 3 | -5.50 |
| 4 | -4.56 |
| 5 | -3.35 |
| 6 | -8.02 |
| 7 | -3.52 |
| 8 | -8.32 |